The following is a GGA+U calculation of an optimized crystal structure of Li3V5O12, from Alexandria.

Computed properties:
Excess energy over the best structure of this formula in the dataset in meV/atom: 14.1
Electronic total energy in eV per atom: -7.125

POSCAR file:
```
Li3V5O12
1.0
-4.3374 -2.1196 1.3722
3.9465 -2.2211 2.2169
-0.8195 6.5733 6.4242
Li V O
3 5 12
Cartesian
0.2923 -0.0285 6.5455
-2.0457 3.3816 8.9548
2.8209 2.7117 7.1713
-3.9414 -0.5201 3.0472
-2.9543 5.3525 7.0700
1.6895 2.1992 4.5636
-0.8692 -0.4078 3.5538
-0.2127 2.8064 6.6188
-2.5517 0.5854 4.0316
-0.8198 0.3033 1.5044
-2.2792 -1.5094 2.5972
-1.6129 4.2014 6.9542
-1.3246 1.3944 6.4708
0.2174 3.4670 4.9378
0.3467 0.8791 3.7014
-1.0874 -1.0617 5.3655
1.1447 3.9257 7.6704
0.2426 -2.0695 3.4994
-0.3315 2.1752 8.7262
1.3531 1.5843 6.2159
```